Below is a relaxed TlCdAuO4 crystal, with properties calculated at the PBE level.

Lattice parameters (Å, degrees): 6.2798 7.1379 6.5487 117.30 90.00 116.10
Last column: nearest neighbours and their distance in Å.
Sites, in units of the cell vectors:
Tl: 0.5000 0.0000 0.5000  4 O 2.21
Tl: 0.5000 0.0000 0.0000  4 O 2.21
Cd: 0.8567 0.7135 0.1067  4 O 2.15-2.37
Cd: 0.1433 0.2865 0.8933  4 O 2.15-2.37
Au: 0.5000 0.5000 0.5000  4 O 2.07
Au: 0.0000 0.5000 0.5000  4 O 2.07
O: 0.7336 0.4672 0.6873  2 Au 2.07
O: 0.2456 0.9570 0.2285  1 Cd 2.15, 2 Tl 2.21
O: 0.7115 0.9570 0.2285  1 Cd 2.15, 2 Tl 2.21
O: 0.7336 0.4672 0.2799  2 Au 2.07
O: 0.2664 0.5328 0.7201  2 Au 2.07
O: 0.7544 0.0430 0.7715  1 Cd 2.15, 2 Tl 2.21
O: 0.2885 0.0430 0.7715  1 Cd 2.15, 2 Tl 2.21
O: 0.2664 0.5328 0.3127  2 Au 2.07

- total energy (eV/cell) = -59.49
- M_tot (μB per formula unit) = 0.0
- energy relative to the elements, uncorrected (eV per atom) = -0.48